(1)
{"formula": "TbPrCd2Au4", "functional": "PBE", "state": "optimized geometry", "final_energy_ev_per_atom": -3.69, "sg": "P4/mmm (123)", "m_tot_mub_per_cell": 0.00, "density_g_cm3": 12.356, "formation_energy_mev_per_atom": -658, "lattice": [[4.9974, 0.0000, 0.0000], [0.0000, 4.9974, 0.0000], [0.0000, 0.0000, 7.0633]], "species": ["Au", "Au", "Au", "Au", "Cd", "Cd", "Pr", "Tb"], "fractional_positions": [[0.5000, 0.0000, 0.2617], [0.0000, 0.5000, 0.2617], [0.5000, 0.0000, 0.7383], [0.0000, 0.5000, 0.7383], [0.5000, 0.5000, 0.0000], [0.0000, 0.0000, 0.5000], [0.0000, 0.0000, 0.0000], [0.5000, 0.5000, 0.5000]]}

(2)
{"formula": "Nb4Ge2CN", "functional": "PBE", "state": "optimized geometry", "final_energy_ev_per_atom": -8.98, "sg": "P-3m1 (164)", "m_tot_mub_per_cell": 0.00, "density_g_cm3": 7.802, "lattice": [[-1.6550, -0.0404, -2.8087], [-1.0526, -1.7554, 2.5377], [-6.8634, 9.7592, 3.9040]], "species": ["C", "Ge", "Ge", "N", "Nb", "Nb", "Nb", "Nb"], "fractional_positions": [[0.0000, 0.0000, 0.0000], [0.6667, 0.3333, 0.2520], [0.3333, 0.6667, 0.7480], [0.0000, 0.0000, 0.5000], [0.3333, 0.6667, 0.0932], [0.3333, 0.6667, 0.4095], [0.6667, 0.3333, 0.5905], [0.6667, 0.3333, 0.9068]]}